Nd8Zn2In | PBE-GGA | optimized geometry

a b c (Å): 17.701 5.093 8.103
angles (deg): 90.00 114.20 90.00
Space group C2/m (No. 12)
Asymmetric unit:
Nd  0.042  0.000  0.254 (multiplicity 4)
Nd  0.096  0.500  0.966 (multiplicity 4)
Nd  0.178  0.000  0.769 (multiplicity 4)
Nd  0.179  0.500  0.465 (multiplicity 4)
Zn  0.194  0.000  0.158 (multiplicity 4)
In  0.000  0.500  0.500 (multiplicity 2)

Output
Energy relative to the elements: -170 meV/atom
ρ: 6.98 g cm⁻³

Nd3ZnIn3 | PBE-GGA | optimized geometry

a b c (Å): 11.503 4.748 15.325
angles (deg): 90.00 108.96 90.00
Space group C2/m (No. 12)
Asymmetric unit:
Nd  0.046  0.000  0.387 (multiplicity 4)
Nd  0.094  0.000  0.916 (multiplicity 4)
Nd  0.244  0.000  0.222 (multiplicity 4)
Zn  0.247  0.500  0.390 (multiplicity 4)
In  0.037  0.500  0.239 (multiplicity 4)
In  0.119  0.500  0.072 (multiplicity 4)
In  0.136  0.500  0.547 (multiplicity 4)

Output
Energy relative to the elements: -442 meV/atom
ρ: 7.07 g cm⁻³

Nd4ZnIn3 | PBE-GGA | optimized geometry

a b c (Å): 3.736 3.736 16.120
angles (deg): 90.00 90.00 90.00
Space group P4/mmm (No. 123)
Asymmetric unit:
Nd  0.000  0.000  0.111 (multiplicity 2)
Nd  0.000  0.000  0.370 (multiplicity 2)
Zn  0.500  0.500  0.000 (multiplicity 1)
In  0.500  0.500  0.239 (multiplicity 2)
In  0.500  0.500  0.500 (multiplicity 1)

Output
Energy relative to the elements: -450 meV/atom
Excess energy over the best structure of this formula in the dataset: 0.0 kJ per mole of atoms
ρ: 7.28 g cm⁻³

Nd6ZnIn3 | PBE-GGA | optimized geometry

a b c (Å): 9.413 12.030 5.415
angles (deg): 90.00 90.00 90.00
Space group Pnnm (No. 58)
Asymmetric unit:
Nd  0.002  0.244  0.000 (multiplicity 4)
Nd  0.159  0.082  0.500 (multiplicity 4)
Nd  0.175  0.419  0.500 (multiplicity 4)
Zn  0.000  0.000  0.000 (multiplicity 2)
In  0.000  0.500  0.000 (multiplicity 2)
In  0.165  0.746  0.500 (multiplicity 4)

Output
Energy relative to the elements: -271 meV/atom
Excess energy over the best structure of this formula in the dataset: 6.7 kJ per mole of atoms
ρ: 6.91 g cm⁻³

Nd6ZnIn2 | PBE-GGA | optimized geometry

a b c (Å): 16.503 7.479 5.259
angles (deg): 90.00 108.46 90.00
Space group C2/m (No. 12)
Asymmetric unit:
Nd  0.000  0.233  0.000 (multiplicity 4)
Nd  0.162  0.244  0.661 (multiplicity 8)
Zn  0.000  0.000  0.500 (multiplicity 2)
In  0.165  0.500  0.165 (multiplicity 4)

Output
Energy relative to the elements: -58 meV/atom
ρ: 6.26 g cm⁻³

Nd4ZnIn | PBE-GGA | optimized geometry

a b c (Å): 12.991 3.773 7.711
angles (deg): 90.00 107.26 90.00
Space group C2/m (No. 12)
Asymmetric unit:
Nd  0.146  0.000  0.336 (multiplicity 4)
Nd  0.153  0.000  0.815 (multiplicity 4)
Zn  0.000  0.500  0.500 (multiplicity 2)
In  0.000  0.500  0.000 (multiplicity 2)

Output
Energy relative to the elements: -231 meV/atom
Excess energy over the best structure of this formula in the dataset: 0.0 kJ per mole of atoms
ρ: 6.97 g cm⁻³

NdZn9In2 | PBE-GGA | optimized geometry

a b c (Å): 5.4734 5.4734 25.2717
angles (deg): 90.00 90.00 120.00
Space group R-3m (No. 166, hexagonal axes)
Asymmetric unit:
Nd  0.0000  0.0000  0.0000 (multiplicity 3)
Zn  0.0000  0.0000  0.3320 (multiplicity 6)
Zn  0.0000  0.0000  0.5000 (multiplicity 3)
Zn  0.0017  0.5009  0.9164 (multiplicity 18)
In  0.0000  0.0000  0.1385 (multiplicity 6)

Output
Energy relative to the elements: -116 meV/atom
ρ: 7.31 g cm⁻³

Nd2ZnIn3 | PBE-GGA | optimized geometry

a b c (Å): 7.582 9.744 16.817
angles (deg): 90.00 90.00 90.00
Space group Fmmm (No. 69)
Asymmetric unit:
Nd  0.250  0.000  0.000 (multiplicity 8)
Nd  0.250  0.250  0.250 (multiplicity 8)
Zn  0.000  0.000  0.167 (multiplicity 8)
In  0.000  0.000  0.328 (multiplicity 8)
In  0.000  0.243  0.086 (multiplicity 16)

Output
Energy relative to the elements: -458 meV/atom
ρ: 7.47 g cm⁻³

Nd2Zn5In | PBE-GGA | optimized geometry

a b c (Å): 6.635 6.635 7.884
angles (deg): 90.00 90.00 90.00
Space group I4mm (No. 107)
Asymmetric unit:
Nd  0.000  0.500  0.000 (multiplicity 4)
Zn  0.000  0.000  0.023 (multiplicity 2)
Zn  0.202  0.202  0.750 (multiplicity 8)
In  0.000  0.000  0.406 (multiplicity 2)

Output
Energy relative to the elements: -242 meV/atom
Excess energy over the best structure of this formula in the dataset: 11.1 kJ per mole of atoms
ρ: 6.99 g cm⁻³

NdZnIn | PBE-GGA | optimized geometry

a b c (Å): 3.272 16.806 5.667
angles (deg): 90.00 90.00 90.00
Space group Cmcm (No. 63)
Asymmetric unit:
Nd  0.000  0.179  0.250 (multiplicity 4)
Zn  0.000  0.365  0.250 (multiplicity 4)
In  0.000  0.000  0.000 (multiplicity 4)

Output
Energy relative to the elements: -85 meV/atom
ρ: 6.92 g cm⁻³

Nd3Zn9In2 | PBE-GGA | optimized geometry

a b c (Å): 4.558 9.092 13.703
angles (deg): 90.00 90.00 90.00
Space group Immm (No. 71)
Asymmetric unit:
Nd  0.000  0.000  0.000 (multiplicity 2)
Nd  0.000  0.000  0.292 (multiplicity 4)
Zn  0.000  0.277  0.148 (multiplicity 8)
Zn  0.000  0.364  0.338 (multiplicity 8)
Zn  0.000  0.500  0.000 (multiplicity 2)
In  0.000  0.192  0.500 (multiplicity 4)

Output
Energy relative to the elements: -325 meV/atom
ρ: 7.32 g cm⁻³

Nd8ZnIn2 | PBE-GGA | optimized geometry

a b c (Å): 19.320 5.346 6.930
angles (deg): 90.00 105.07 90.00
Space group C2/m (No. 12)
Asymmetric unit:
Nd  0.013  0.000  0.274 (multiplicity 4)
Nd  0.093  0.500  0.964 (multiplicity 4)
Nd  0.154  0.500  0.477 (multiplicity 4)
Nd  0.207  0.000  0.797 (multiplicity 4)
Zn  0.000  0.500  0.500 (multiplicity 2)
In  0.181  0.000  0.240 (multiplicity 4)

Output
Energy relative to the elements: -206 meV/atom
Excess energy over the best structure of this formula in the dataset: 1.6 kJ per mole of atoms
ρ: 6.96 g cm⁻³

Q: Which of these has the lowest energy relative to the elements?
A: Nd2ZnIn3